(1)
VCrB (PBE, optimized geometry); space group = Amm2, No. 38; total energy = -8.981 eV/atom; energy relative to the lowest polymorph listed for this composition = 0.029 eV per atom; formation enthalpy at 0 K = -11.704 kcal/mol of atoms
1.0
-1.441 -1.992 1.608
2.139 -1.968 -0.521
6.673 4.270 11.270
Cr B V
4 4 4
Direct
0.500 0.500 0.180 Cr
0.500 0.500 0.395 Cr
0.500 0.000 0.680 Cr
0.500 0.000 0.895 Cr
0.500 0.000 0.515 B
0.500 0.500 0.015 B
0.000 0.000 0.445 B
0.000 0.500 0.945 B
0.000 0.000 0.070 V
0.000 0.500 0.779 V
0.000 0.000 0.279 V
0.000 0.500 0.570 V


(2)
Mg2CrRh9 (PBE, optimized geometry); space group = P4/mmm, No. 123; total energy = -6.768 eV/atom; formation enthalpy at 0 K = -4.297 kcal/mol of atoms
1.0
-1.065 -0.063 -3.688
-2.504 -2.806 0.772
-8.226 7.958 2.240
Rh Mg Cr
9 2 1
Direct
0.500 0.000 0.500 Rh
0.000 0.500 0.158 Rh
0.500 0.500 0.329 Rh
0.500 0.000 0.842 Rh
0.500 0.500 0.000 Rh
0.000 0.500 0.842 Rh
0.500 0.500 0.671 Rh
0.000 0.500 0.500 Rh
0.500 0.000 0.158 Rh
0.000 0.000 0.669 Mg
0.000 0.000 0.331 Mg
0.000 0.000 0.000 Cr


(3)
TcPb2Br (PBE, optimized geometry); space group = F-43m, No. 216; total energy = -4.089 eV/atom; energy relative to the lowest polymorph listed for this composition = 0.487 eV per atom; formation energy without anion corrections = 775 meV/atom
1.0
-1.005 -4.752 1.624
3.065 -3.872 -1.358
3.032 -2.210 3.486
Pb Br Tc
2 1 1
Direct
0.000 0.000 0.000 Pb
0.250 0.250 0.250 Pb
0.500 0.500 0.500 Br
0.750 0.750 0.750 Tc


(4)
SiTeW2 (PBE, optimized geometry); space group = C2/m, No. 12; total energy = -7.732 eV/atom; energy relative to the lowest polymorph listed for this composition = 0.592 eV per atom; formation energy without anion corrections = 885 meV/atom
1.0
4.725 -0.022 -0.061
-2.173 4.782 0.076
0.380 1.164 3.170
W Si Te
2 1 1
Direct
0.000 0.000 0.000 W
0.500 0.000 0.500 W
0.000 0.500 0.500 Si
0.500 0.500 0.000 Te


(5)
DyTm3Sn (PBE, optimized geometry); space group = Cmcm, No. 63; total energy = -4.561 eV/atom; formation enthalpy at 0 K = -3.634 kcal/mol of atoms
1.0
5.830 0.000 0.000
0.000 6.638 0.000
0.000 3.319 7.907
Dy Tm Sn
2 6 2
Direct
0.750 0.556 0.889 Dy
0.250 0.444 0.111 Dy
0.250 0.911 0.676 Tm
0.500 0.000 0.000 Tm
0.000 0.000 0.000 Tm
0.750 0.587 0.324 Tm
0.750 0.089 0.324 Tm
0.250 0.413 0.676 Tm
0.750 0.172 0.655 Sn
0.250 0.828 0.345 Sn


(6)
SiIr2Pb (PBE, optimized geometry); space group = R3m, No. 160; total energy = -6.342 eV/atom; energy relative to the lowest polymorph listed for this composition = 0.491 eV per atom; formation energy without anion corrections = 371 meV/atom
1.0
8.627 0.003 0.002
8.051 3.098 0.002
8.051 1.497 2.713
Ir Si Pb
2 1 1
Direct
0.991 0.991 0.991 Ir
0.745 0.745 0.745 Ir
0.266 0.266 0.266 Si
0.497 0.497 0.497 Pb


(7)
Nb2CdFeAs (PBE, optimized geometry); space group = P4/mmm, No. 123; total energy = -4.872 eV/atom; formation enthalpy at 0 K = 45.239 kcal/mol of atoms
1.0
5.025 0.000 0.000
0.000 4.552 0.000
0.000 0.000 5.025
As Cd Nb Fe
1 1 2 1
Direct
0.500 0.500 0.500 As
0.000 0.000 0.000 Cd
0.500 0.000 0.000 Nb
0.000 0.000 0.500 Nb
0.000 0.500 0.000 Fe


(8)
LaTmSi2Pd5 (PBE, optimized geometry); space group = P4/mmm, No. 123; total energy = -6.015 eV/atom; formation energy without anion corrections = -880 meV/atom
1.0
-1.109 -1.910 3.610
-2.189 -2.880 -2.196
7.349 -5.205 -0.497
Pd La Tm Si
5 1 1 2
Direct
0.000 0.500 0.260 Pd
0.000 0.500 0.740 Pd
0.500 0.500 0.500 Pd
0.500 0.000 0.260 Pd
0.500 0.000 0.740 Pd
0.000 0.000 0.500 La
0.000 0.000 0.000 Tm
0.500 0.500 0.129 Si
0.500 0.500 0.871 Si


(9)
Zn4CuAg (PBE, optimized geometry); space group = F-43m, No. 216; total energy = -1.960 eV/atom; energy relative to the lowest polymorph listed for this composition = 0.071 eV per atom; formation enthalpy at 0 K = 1.092 kcal/mol of atoms
1.0
0.000 3.550 3.550
3.550 0.000 3.550
3.550 3.550 0.000
Zn Ag Cu
4 1 1
Direct
0.625 0.625 0.124 Zn
0.625 0.124 0.625 Zn
0.124 0.625 0.625 Zn
0.625 0.625 0.625 Zn
0.250 0.250 0.250 Ag
0.000 0.000 0.000 Cu


(10)
Sc4C2N (PBE, optimized geometry); space group = Cmcm, No. 63; total energy = -8.193 eV/atom; energy relative to the lowest polymorph listed for this composition = 0.000 eV per atom; formation energy without anion corrections = -750 meV/atom
1.0
3.269 0.000 0.000
-1.635 5.436 0.000
0.000 0.000 10.874
Sc C N
8 4 2
Direct
0.500 0.000 0.500 Sc
0.500 0.000 0.000 Sc
0.229 0.458 0.616 Sc
0.771 0.542 0.384 Sc
0.030 0.061 0.250 Sc
0.229 0.458 0.884 Sc
0.771 0.542 0.116 Sc
0.970 0.939 0.750 Sc
0.135 0.270 0.068 C
0.865 0.730 0.568 C
0.865 0.730 0.932 C
0.135 0.270 0.432 C
0.397 0.794 0.250 N
0.603 0.206 0.750 N


(11)
PbW (PBE, optimized geometry); space group = I-43m, No. 217; total energy = -7.006 eV/atom; energy relative to the lowest polymorph listed for this composition = 0.831 eV per atom; formation enthalpy at 0 K = 30.552 kcal/mol of atoms
1.0
8.615 0.000 0.000
0.000 8.615 0.000
0.000 0.000 8.615
Pb W
8 8
Direct
0.291 0.709 0.709 Pb
0.291 0.291 0.291 Pb
0.791 0.791 0.791 Pb
0.209 0.791 0.209 Pb
0.709 0.709 0.291 Pb
0.791 0.209 0.209 Pb
0.209 0.209 0.791 Pb
0.709 0.291 0.709 Pb
0.897 0.897 0.103 W
0.397 0.603 0.397 W
0.397 0.397 0.603 W
0.103 0.897 0.897 W
0.603 0.397 0.397 W
0.603 0.603 0.603 W
0.103 0.103 0.103 W
0.897 0.103 0.897 W


(12)
KCa2Sn6 (PBE, optimized geometry); space group = C2/m, No. 12; total energy = -3.582 eV/atom; formation enthalpy at 0 K = -8.005 kcal/mol of atoms
1.0
4.645 -0.003 1.273
1.432 8.076 3.834
0.087 2.402 8.729
Ca K Sn
2 1 6
Direct
0.884 0.617 0.617 Ca
0.116 0.383 0.383 Ca
0.000 0.000 0.000 K
0.500 0.307 0.693 Sn
0.307 0.396 0.991 Sn
0.693 0.604 0.009 Sn
0.500 0.693 0.307 Sn
0.307 0.991 0.396 Sn
0.693 0.009 0.604 Sn


(13)
PmYSc2P4 (PBE, optimized geometry); space group = P2/m, No. 10; total energy = -7.204 eV/atom; formation enthalpy at 0 K = -34.928 kcal/mol of atoms
1.0
3.926 0.000 0.000
0.000 6.768 -0.123
0.000 2.391 6.360
P Sc Pm Y
4 2 1 1
Direct
0.000 0.771 0.740 P
0.000 0.229 0.260 P
0.500 0.232 0.753 P
0.500 0.768 0.247 P
0.000 0.000 0.000 Sc
0.500 0.000 0.500 Sc
0.500 0.500 0.000 Pm
0.000 0.500 0.500 Y


(14)
NiPtPb4 (PBE, optimized geometry); space group = F-43m, No. 216; total energy = -3.588 eV/atom; formation enthalpy at 0 K = 19.697 kcal/mol of atoms
1.0
2.364 -5.306 2.136
-1.601 -2.064 5.611
-3.609 -4.998 0.545
Pb Ni Pt
4 1 1
Direct
0.375 0.375 0.375 Pb
0.375 0.375 0.875 Pb
0.875 0.375 0.375 Pb
0.375 0.875 0.375 Pb
0.000 0.000 0.000 Ni
0.750 0.750 0.750 Pt


(15)
AgPd3Pt (PBE, optimized geometry); space group = C2/m, No. 12; total energy = -4.883 eV/atom; energy relative to the lowest polymorph listed for this composition = 0.000 eV per atom; formation enthalpy at 0 K = 0.264 kcal/mol of atoms
1.0
-0.284 -1.054 2.569
-7.824 -3.786 -0.903
4.361 -4.983 -1.566
Pd Pt Ag
6 2 2
Direct
0.274 0.578 0.324 Pd
0.440 0.243 0.159 Pd
0.475 0.175 0.733 Pd
0.040 0.043 0.362 Pd
0.242 0.640 0.772 Pd
0.075 0.975 0.937 Pd
0.842 0.440 0.966 Pt
0.673 0.778 0.129 Pt
0.874 0.376 0.528 Ag
0.641 0.841 0.568 Ag


(16)
Pm2NdHoSc (PBE, optimized geometry); space group = Cmcm, No. 63; total energy = -4.691 eV/atom; formation enthalpy at 0 K = 7.946 kcal/mol of atoms
1.0
-1.528 -1.815 -6.775
-3.064 -7.200 2.620
-3.633 5.989 -0.785
Pm Ho Sc Nd
4 2 2 2
Direct
0.000 0.301 0.000 Pm
0.500 0.301 0.000 Pm
0.000 0.699 0.000 Pm
0.500 0.699 0.000 Pm
0.750 0.741 0.482 Ho
0.250 0.259 0.518 Ho
0.250 0.989 0.978 Sc
0.750 0.011 0.022 Sc
0.250 0.728 0.455 Nd
0.750 0.272 0.545 Nd


(17)
ZrZn2Tc (PBE, optimized geometry); space group = P4/mmm, No. 123; total energy = -5.329 eV/atom; energy relative to the lowest polymorph listed for this composition = 0.257 eV per atom; formation enthalpy at 0 K = 0.851 kcal/mol of atoms
1.0
2.909 0.000 0.000
0.000 2.909 0.000
0.000 0.000 7.702
Tc Zr Zn
1 1 2
Direct
0.500 0.500 0.750 Tc
0.500 0.500 0.250 Zr
0.000 0.000 0.976 Zn
0.000 0.000 0.524 Zn


(18)
Na2AgPdCl6 (PBE, optimized geometry); space group = P1, No. 1; total energy = -3.138 eV/atom; formation energy without anion corrections = -962 meV/atom
1.0
-4.751 3.239 3.861
0.080 -0.413 6.800
1.917 5.763 3.974
Na Cl Ag Pd
2 6 1 1
Direct
0.533 0.524 0.415 Na
0.016 0.033 0.934 Na
0.200 0.983 0.251 Cl
0.986 0.562 0.250 Cl
0.442 0.671 0.781 Cl
0.581 0.178 0.275 Cl
0.668 0.100 0.790 Cl
0.091 0.465 0.759 Cl
0.819 0.822 0.536 Ag
0.325 0.325 0.024 Pd


(19)
HoErAg2Se4 (PBE, optimized geometry); space group = P2/m, No. 10; total energy = -4.758 eV/atom; formation energy without anion corrections = -1161 meV/atom
1.0
4.149 0.000 0.000
0.000 6.906 -0.065
0.000 2.506 6.730
Ag Se Ho Er
2 4 1 1
Direct
0.000 0.000 0.000 Ag
0.500 0.000 0.500 Ag
0.000 0.257 0.245 Se
0.500 0.257 0.747 Se
0.500 0.743 0.253 Se
0.000 0.743 0.755 Se
0.000 0.500 0.500 Ho
0.500 0.500 0.000 Er


(20)
CeMgBiSb (PBE, optimized geometry); space group = F-43m, No. 216; total energy = -4.299 eV/atom; formation energy without anion corrections = -416 meV/atom
1.0
-4.659 -2.689 -0.363
-0.201 -5.231 1.291
-2.559 -1.575 4.477
Sb Mg Ce Bi
1 1 1 1
Direct
0.000 0.000 0.000 Sb
0.750 0.750 0.750 Mg
0.250 0.250 0.250 Ce
0.500 0.500 0.500 Bi